[1]
Material: TcNi2Se
Method: DFT, GGA-PBE
State: relaxed

The space group is P4mm (No. 99) and the conventional cell measures 3.068, 3.068 and 5.550 Å, with angles of 90.00, 90.00 and 90.00 degrees. The asymmetric unit holds Tc at (0.000, 0.000, 0.000), Ni at (0.000, 0.000, 0.479), Ni at (0.500, 0.500, 0.257) and Se at (0.500, 0.500, 0.724).

The density of states at the Fermi level comes out at 4.75 states/eV per cell. The uncorrected formation energy comes out at 0.130 eV/atom.

=====

[2]
Material: Nd6NiIr2Br3
Method: DFT, GGA-PBE
State: relaxed

The space group is C2/m (No. 12) and the conventional cell measures 7.162, 12.404 and 8.158 Å, with angles of 90.00, 107.02 and 90.00 degrees. The asymmetric unit holds Nd at (0.231, 0.166, 0.195), Nd at (0.233, 0.500, 0.195), Ni at (0.000, 0.000, 0.000), Ir at (0.000, 0.333, 0.000), Br at (0.000, 0.166, 0.500) and Br at (0.000, 0.500, 0.500).

The density of states at the Fermi level comes out at 11.29 states/eV per cell. The uncorrected formation energy comes out at -1.006 eV/atom.

=====

[3]
Material: YAgH3
Method: DFT, GGA-PBE
State: relaxed

The space group is Pm-3m (No. 221) and the conventional cell measures 3.807, 3.807 and 3.807 Å, with angles of 90.00, 90.00 and 90.00 degrees. The asymmetric unit holds Y at (0.000, 0.000, 0.000), Ag at (0.500, 0.500, 0.500) and H at (0.000, 0.500, 0.500).

The density of states at the Fermi level comes out at 2.88 states/eV per cell. As for the distance to the lowest polymorph of the same formula: 0.0 kJ per mole of atoms.

=====

[4]
Material: TmSi6Ir3
Method: DFT, GGA-PBE
State: relaxed

The space group is P2_1/m (No. 11) and the conventional cell measures 8.000, 3.891 and 11.266 Å, with angles of 90.00, 110.55 and 90.00 degrees. The asymmetric unit holds Tm at (0.073, 0.250, 0.300), Si at (0.017, 0.250, 0.919), Si at (0.109, 0.750, 0.489), Si at (0.297, 0.750, 0.210), Si at (0.301, 0.750, 0.783), Si at (0.394, 0.250, 0.072), Si at (0.425, 0.250, 0.525), Ir at (0.214, 0.750, 0.973), Ir at (0.218, 0.250, 0.624) and Ir at (0.463, 0.250, 0.320).

The density of states at the Fermi level comes out at 6.13 states/eV per cell. The uncorrected formation energy comes out at -0.576 eV/atom.

=====

[5]
Material: PrSc2Nb
Method: DFT, GGA-PBE
State: relaxed

The space group is R-3m (No. 166, hexagonal axes) and the conventional cell measures 3.2105, 3.2105 and 33.7383 Å, with angles of 90.00, 90.00 and 120.00 degrees. The asymmetric unit holds Pr at (0.0000, 0.0000, 0.0000), Sc at (0.0000, 0.0000, 0.4197) and Nb at (0.0000, 0.0000, 0.5000).

The density of states at the Fermi level comes out at 22.87 states/eV per cell. As for the distance to the lowest polymorph of the same formula: 30.6 kJ per mole of atoms. The calculated formation energy is 0.486 eV per atom.

=====

[6]
Material: Tb4Pm2SmTm2
Method: DFT, GGA-PBE
State: relaxed

The space group is C2/m (No. 12) and the conventional cell measures 15.160, 5.051 and 7.981 Å, with angles of 90.00, 108.49 and 90.00 degrees. The asymmetric unit holds Tb at (0.056, 0.000, 0.332), Tb at (0.221, 0.500, 0.331), Pm at (0.111, 0.500, 0.667), Sm at (0.000, 0.500, 0.000) and Tm at (0.168, 0.000, 0.001).

The density of states at the Fermi level comes out at 25.54 states/eV per cell. The calculated formation energy is 0.019 eV per atom.

=====

[7]
Material: La5HoP6
Method: DFT, GGA-PBE
State: relaxed

The space group is C2/m (No. 12) and the conventional cell measures 7.328, 12.692 and 7.327 Å, with angles of 90.00, 109.49 and 90.00 degrees. The asymmetric unit holds La at (0.000, 0.000, 0.000), La at (0.000, 0.166, 0.500), La at (0.000, 0.333, 0.000), Ho at (0.000, 0.500, 0.500), P at (0.243, 0.500, 0.255) and P at (0.244, 0.337, 0.745).

The density of states at the Fermi level comes out at 1.37 states/eV per cell. The calculated formation energy is -1.568 eV per atom.

=====

[8]
Material: Ce2GeRh6
Method: DFT, GGA-PBE
State: relaxed

The space group is P-62m (No. 189) and the conventional cell measures 7.0894, 7.0894 and 3.5419 Å, with angles of 90.00, 90.00 and 120.00 degrees. The asymmetric unit holds Ce at (0.3333, 0.6667, 0.0000), Ge at (0.0000, 0.0000, 0.5000), Rh at (0.0000, 0.3800, 0.5000) and Rh at (0.0000, 0.7466, 0.0000).

The density of states at the Fermi level comes out at 5.71 states/eV per cell. As for the distance to the lowest polymorph of the same formula: 20.9 kJ per mole of atoms. The calculated formation energy is -0.449 eV per atom.

=====

[9]
Material: Cs3TbPm2O6
Method: DFT, GGA-PBE
State: relaxed

The space group is C2/m (No. 12) and the conventional cell measures 6.310, 10.929 and 7.240 Å, with angles of 90.00, 106.89 and 90.00 degrees. The asymmetric unit holds Cs at (0.000, 0.000, 0.000), Cs at (0.000, 0.334, 0.000), Tb at (0.000, 0.500, 0.500), Pm at (0.000, 0.167, 0.500), O at (0.219, 0.337, 0.667) and O at (0.229, 0.000, 0.668).

The density of states at the Fermi level comes out at 0.00 states/eV per cell. The uncorrected formation energy comes out at -2.560 eV/atom.

=====

[10]
Material: AcScGaSn
Method: DFT, GGA-PBE
State: relaxed

The space group is F-43m (No. 216) and the conventional cell measures 7.572, 7.572 and 7.572 Å, with angles of 90.00, 90.00 and 90.00 degrees. The asymmetric unit holds Ac at (0.000, 0.000, 0.000), Sc at (0.000, 0.000, 0.500), Ga at (0.250, 0.250, 0.750) and Sn at (0.250, 0.250, 0.250).

The density of states at the Fermi level comes out at 12.50 states/eV per cell. The calculated formation energy is -0.421 eV per atom.

=====

[11]
Material: Ti2Ni2Pd
Method: DFT, GGA-PBE
State: relaxed

The space group is I4/mmm (No. 139) and the conventional cell measures 4.093, 4.093 and 9.179 Å, with angles of 90.00, 90.00 and 90.00 degrees. The asymmetric unit holds Ti at (0.000, 0.500, 0.250), Ni at (0.000, 0.000, 0.118) and Pd at (0.000, 0.000, 0.500).

The density of states at the Fermi level comes out at 8.97 states/eV per cell. As for the distance to the lowest polymorph of the same formula: 37.1 kJ per mole of atoms. The calculated formation energy is -0.108 eV per atom.

=====

Number 1: DFT total energy -6.2235 eV per atom. Number 2: DFT total energy -5.7667 eV per atom. Number 3: DFT total energy -3.8978 eV per atom. Number 4: DFT total energy -6.9356 eV per atom. Number 5: DFT total energy -6.3918 eV per atom. Number 6: DFT total energy -4.6123 eV per atom. Number 7: DFT total energy -6.7072 eV per atom. Number 8: DFT total energy -7.1818 eV per atom. Number 9: DFT total energy -6.4301 eV per atom. Number 10: DFT total energy -4.7882 eV per atom. Number 11: DFT total energy -6.6175 eV per atom.